A relaxed structure of Dy3Ho6ErTm2. Source: Alexandria via LeMat-Bulk, functional PBE-GGA.

symmetry	C2/m, No. 12
crystal system	monoclinic

a = 6.081 Å, b = 6.081 Å, c = 11.639 Å
α = 94.98°, β = 94.98°, γ = 119.93°
Fractional positions:
Dy1 0.000 0.000 0.000
Dy2 0.333 0.667 0.000
Dy3 0.667 0.333 0.000
Ho1 0.084 0.417 0.251
Ho2 0.249 0.249 0.749
Ho3 0.417 0.084 0.251
Ho4 0.583 0.916 0.749
Ho5 0.751 0.751 0.251
Ho6 0.916 0.583 0.749
Er1 0.500 0.500 0.500
Tm1 0.167 0.833 0.500
Tm2 0.833 0.167 0.500

=====

A relaxed structure of BeRe2Ni. Source: Alexandria via LeMat-Bulk, functional PBE-GGA.

symmetry	Pmm2, No. 25
crystal system	orthorhombic

a = 2.689 Å, b = 3.762 Å, c = 5.088 Å
α = 90.00°, β = 90.00°, γ = 90.00°
Fractional positions:
Be1 0.000 0.000 0.000
Re1 0.000 0.000 0.494
Re2 0.500 0.500 0.740
Ni1 0.500 0.500 0.213

=====

A relaxed structure of Nd2SmDy4Er2. Source: Alexandria via LeMat-Bulk, functional PBE-GGA.

symmetry	P-1, No. 2
crystal system	triclinic

a = 6.021 Å, b = 6.635 Å, c = 8.597 Å
α = 79.90°, β = 70.42°, γ = 65.05°
Fractional positions:
Nd1 0.231 0.327 0.343
Nd2 0.769 0.673 0.657
Sm1 0.500 0.000 0.000
Dy1 0.119 0.128 0.760
Dy2 0.238 0.578 0.884
Dy3 0.762 0.422 0.116
Dy4 0.881 0.872 0.240
Er1 0.320 0.770 0.445
Er2 0.680 0.230 0.555

=====

no.,ΔE_f (eV per atom)
1,0.02
2,0.10
3,0.08